[1]
Crystalline Na2SiRu2 at its relaxed geometry, computed with PBE.

- formation energy (no corrections) (meV/atom) = 164
- D(E_F) (states/eV per cell) = 10.1
- size of the total moment (μB per cell) = 0.645
- energy above the most stable polymorph in this dataset (meV/atom) = 0

Cell and atoms, written as CIF:
```
data_Na2SiRu2
_chemical_formula_sum 'Na4 Si2 Ru4'
_cell_length_a 6.0449
_cell_length_b 6.0449
_cell_length_c 5.1531
_cell_angle_alpha 90.00
_cell_angle_beta 90.00
_cell_angle_gamma 90.00
_symmetry_space_group_name_H-M 'P 4/m b m'
_symmetry_Int_Tables_number 127
_symmetry_space_group_name_Hall '-P 4 2ab'
loop_
_atom_site_label
_atom_site_fract_x
_atom_site_fract_y
_atom_site_fract_z
Na1 0.1743 0.3257 0.0000
Si1 0.0000 0.0000 0.5000
Ru1 0.1401 0.6401 0.5000
```

[2]
Crystalline Pm2SmDyMg at its relaxed geometry, computed with PBE.

- E_form (eV/atom) = 0.0172
- D(E_F) (states/eV per cell) = 13.6
- size of the total moment (μB per cell) = 0.000

Cell and atoms, written as CIF:
```
data_Pm2SmDyMg
_chemical_formula_sum 'Pm4 Sm2 Dy2 Mg2'
_cell_length_a 6.1873
_cell_length_b 5.6656
_cell_length_c 9.5215
_cell_angle_alpha 90.00
_cell_angle_beta 108.82
_cell_angle_gamma 90.00
_symmetry_space_group_name_H-M 'P 1 21/m 1'
_symmetry_Int_Tables_number 11
loop_
_symmetry_equiv_pos_as_xyz
'x,y,z'
'-x,-y,-z'
'-x,y+1/2,-z'
'x,-y+1/2,z'
loop_
_atom_site_label
_atom_site_fract_x
_atom_site_fract_y
_atom_site_fract_z
Pm1 0.0481 0.2500 0.2979
Pm2 0.1245 0.7500 0.1081
Sm1 0.4667 0.2500 0.1085
Dy1 0.3335 0.7500 0.5039
Mg1 0.2761 0.2500 0.6929
```

[3]
Crystalline PmNdDy2 at its relaxed geometry, computed with PBE.

- E_form (eV/atom) = 0.0182
- D(E_F) (states/eV per cell) = 5.5
- size of the total moment (μB per cell) = 0.000
- energy above the most stable polymorph in this dataset (meV/atom) = 6

Cell and atoms, written as CIF:
```
data_PmNdDy2
_chemical_formula_sum 'Pm1 Nd1 Dy2'
_cell_length_a 3.6067
_cell_length_b 3.6067
_cell_length_c 10.1745
_cell_angle_alpha 90.00
_cell_angle_beta 90.00
_cell_angle_gamma 90.00
_symmetry_space_group_name_H-M 'P 4/m m m'
_symmetry_Int_Tables_number 123
_symmetry_space_group_name_Hall '-P 4 2'
loop_
_atom_site_label
_atom_site_fract_x
_atom_site_fract_y
_atom_site_fract_z
Pm1 0.0000 0.0000 0.0000
Nd1 0.0000 0.0000 0.5000
Dy1 0.5000 0.5000 0.2489
```

[4]
Crystalline Ba2TaPt at its relaxed geometry, computed with PBE.

- E_form (eV/atom) = 0.6784
- D(E_F) (states/eV per cell) = 8.8
- size of the total moment (μB per cell) = 0.001
- energy above the most stable polymorph in this dataset (meV/atom) = 619

Cell and atoms, written as CIF:
```
data_Ba2TaPt
_chemical_formula_sum 'Ba4 Ta2 Pt2'
_cell_length_a 7.2831
_cell_length_b 9.0072
_cell_length_c 3.4596
_cell_angle_alpha 90.00
_cell_angle_beta 90.11
_cell_angle_gamma 90.00
_symmetry_space_group_name_H-M 'C 1 2/m 1'
_symmetry_Int_Tables_number 12
loop_
_symmetry_equiv_pos_as_xyz
'x,y,z'
'-x,-y,-z'
'-x,y,-z'
'x,-y,z'
'x+1/2,y+1/2,z'
'-x+1/2,-y+1/2,-z'
'-x+1/2,y+1/2,-z'
'x+1/2,-y+1/2,z'
loop_
_atom_site_label
_atom_site_fract_x
_atom_site_fract_y
_atom_site_fract_z
Ba1 0.2500 0.2500 0.0000
Ta1 0.0000 0.0000 0.5000
Pt1 0.0000 0.5000 0.5000
```

[5]
Crystalline BaNa2Sr at its relaxed geometry, computed with PBE.

- E_form (eV/atom) = 0.1789
- D(E_F) (states/eV per cell) = 20.9
- size of the total moment (μB per cell) = 0.000
- energy above the most stable polymorph in this dataset (meV/atom) = 170

Cell and atoms, written as CIF:
```
data_BaNa2Sr
_chemical_formula_sum 'Ba4 Na8 Sr4'
_cell_length_a 10.0488
_cell_length_b 10.0488
_cell_length_c 8.1402
_cell_angle_alpha 90.00
_cell_angle_beta 90.00
_cell_angle_gamma 90.00
_symmetry_space_group_name_H-M 'I -4 2 d'
_symmetry_Int_Tables_number 122
_symmetry_space_group_name_Hall 'I -4 2bw'
loop_
_atom_site_label
_atom_site_fract_x
_atom_site_fract_y
_atom_site_fract_z
Ba1 0.0000 0.0000 0.0000
Na1 0.2422 0.2500 0.6250
Sr1 0.0000 0.0000 0.5000
```

[6]
Crystalline La2ZrAs at its relaxed geometry, computed with PBE.

- E_form (eV/atom) = -0.4031
- D(E_F) (states/eV per cell) = 10.0
- size of the total moment (μB per cell) = 0.000

Cell and atoms, written as CIF:
```
data_La2ZrAs
_chemical_formula_sum 'La4 Zr2 As2'
_cell_length_a 6.2849
_cell_length_b 8.7663
_cell_length_c 3.7784
_cell_angle_alpha 90.00
_cell_angle_beta 90.00
_cell_angle_gamma 90.00
_symmetry_space_group_name_H-M 'C m m m'
_symmetry_Int_Tables_number 65
_symmetry_space_group_name_Hall '-C 2 2'
loop_
_atom_site_label
_atom_site_fract_x
_atom_site_fract_y
_atom_site_fract_z
La1 0.2500 0.2500 0.0000
Zr1 0.0000 0.0000 0.5000
As1 0.0000 0.5000 0.5000
```

[7]
Crystalline NaCo2Cl at its relaxed geometry, computed with PBE.

- formation energy (no corrections) (meV/atom) = 474
- D(E_F) (states/eV per cell) = 16.1
- size of the total moment (μB per cell) = 6.984
- energy above the most stable polymorph in this dataset (meV/atom) = 0

Cell and atoms, written as CIF:
```
data_NaCo2Cl
_chemical_formula_sum 'Na4 Co8 Cl4'
_cell_length_a 4.6828
_cell_length_b 4.6828
_cell_length_c 14.3438
_cell_angle_alpha 90.00
_cell_angle_beta 90.00
_cell_angle_gamma 90.00
_symmetry_space_group_name_H-M 'I 41/a m d'
_symmetry_Int_Tables_number 141
loop_
_symmetry_equiv_pos_as_xyz
'x,y,z'
'-x,-y,-z'
'-y+1/4,x+3/4,z+1/4'
'y+1/4,-x+3/4,-z+1/4'
'-x+1/2,-y,z+1/2'
'x+1/2,y,-z+1/2'
'y+1/4,-x+1/4,z+3/4'
'-y+1/4,x+1/4,-z+3/4'
'x,-y,-z'
'-x,y,z'
'-y+1/4,-x+1/4,-z+3/4'
'y+1/4,x+1/4,z+3/4'
'-x+1/2,y,-z+1/2'
'x+1/2,-y,z+1/2'
'y+1/4,x+3/4,-z+1/4'
'-y+1/4,-x+3/4,z+1/4'
'x+1/2,y+1/2,z+1/2'
'-x+1/2,-y+1/2,-z+1/2'
'-y+3/4,x+1/4,z+3/4'
'y+3/4,-x+1/4,-z+3/4'
'-x,-y+1/2,z'
'x,y+1/2,-z'
'y+3/4,-x+3/4,z+1/4'
'-y+3/4,x+3/4,-z+1/4'
'x+1/2,-y+1/2,-z+1/2'
'-x+1/2,y+1/2,z+1/2'
'-y+3/4,-x+3/4,-z+1/4'
'y+3/4,x+3/4,z+1/4'
'-x,y+1/2,-z'
'x,-y+1/2,z'
'y+3/4,x+1/4,-z+3/4'
'-y+3/4,-x+1/4,z+3/4'
loop_
_atom_site_label
_atom_site_fract_x
_atom_site_fract_y
_atom_site_fract_z
Na1 0.0000 0.2500 0.3750
Co1 0.0000 0.0000 0.0000
Cl1 0.0000 0.2500 0.8750
```

[8]
Crystalline Nd3YHo at its relaxed geometry, computed with PBE.

- E_form (eV/atom) = 0.2685
- D(E_F) (states/eV per cell) = 52.6
- size of the total moment (μB per cell) = 0.220
- energy above the most stable polymorph in this dataset (meV/atom) = 200

Cell and atoms, written as CIF:
```
data_Nd3YHo
_chemical_formula_sum 'Nd18 Y6 Ho6'
_cell_length_a 6.8408
_cell_length_b 6.8408
_cell_length_c 26.6839
_cell_angle_alpha 90.00
_cell_angle_beta 90.00
_cell_angle_gamma 120.00
_symmetry_space_group_name_H-M 'R -3'
_symmetry_Int_Tables_number 148
_symmetry_space_group_name_Hall '-R 3'
loop_
_atom_site_label
_atom_site_fract_x
_atom_site_fract_y
_atom_site_fract_z
Nd1 0.0032 0.5159 0.2416
Y1 0.0000 0.0000 0.3143
Ho1 0.0000 0.0000 0.1956
```

Number 3 is which compound? PmNdDy2